Nd6Y4Tm: optimized geometry, GGA-PBE.

Cell lengths 6.8276, 6.8276, 16.5077 Å; angles 90.00, 90.00, 90.00 degrees
With the nearest neighbours (Å) after each atom.
Space group I-42m (No. 121)
Inequivalent atoms, fractional coordinates:
Nd1 0.0000 0.5000 0.0000 (multiplicity 4)  4 Y 3.15, 2 Tm 3.41
Nd2 0.1907 0.1907 0.1768 (multiplicity 8)  5 Y 3.44-3.77, 1 Tm 3.45, 3 Nd 3.68-3.83
Y1 0.1756 0.1756 0.3850 (multiplicity 8)  3 Nd 3.15-3.44, 1 Y 3.39
Tm1 0.0000 0.0000 0.0000 (multiplicity 2)  8 Nd 3.41-3.45, 4 Y 3.66

## Properties
The value obtained for the energy above the most stable polymorph in this dataset is 4.40 kcal/mol of atoms. As for the formation energy: 0.304 eV/atom.


Nd8Y6Tm: optimized geometry, GGA-PBE.

Cell lengths 9.1810, 9.1810, 21.0022 Å; angles 90.00, 90.00, 120.00 degrees
With the nearest neighbours (Å) after each atom.
Space group R-3 (No. 148, hexagonal axes)
Inequivalent atoms, fractional coordinates:
Nd1 0.0000 0.0000 0.0776 (multiplicity 6)  4 Nd 3.26-3.46, 3 Y 3.40
Nd2 0.0810 0.5588 0.3062 (multiplicity 18)  3 Y 3.45-3.85, 5 Nd 3.46-3.49, 1 Tm 3.55
Y1 0.0466 0.2453 0.2057 (multiplicity 18)  3 Nd 3.40-3.48, 1 Tm 3.52, 5 Y 3.59-3.80
Tm1 0.0000 0.0000 0.5000 (multiplicity 3)  6 Y 3.52, 6 Nd 3.55

## Properties
As for the formation energy: 0.112 eV/atom.


Nd10Y4Tm: optimized geometry, GGA-PBE.

Cell lengths 9.9861, 9.9861, 10.3470 Å; angles 90.00, 90.00, 90.00 degrees
With the nearest neighbours (Å) after each atom.
Space group I4/m (No. 87)
Inequivalent atoms, fractional coordinates:
Nd1 0.0000 0.5000 0.2500 (multiplicity 4)  4 Y 3.17, 4 Nd 3.24
Nd2 0.1132 0.7899 0.1617 (multiplicity 16)  5 Nd 3.24-3.38
Y1 0.0592 0.6736 0.5000 (multiplicity 8)  2 Nd 3.17, 1 Tm 3.31
Tm1 0.0000 0.0000 0.5000 (multiplicity 2)  4 Y 3.31

## Properties
As for the formation energy: 0.313 eV/atom.


Nd4Y4Tm5: optimized geometry, GGA-PBE.

Cell lengths 12.8975, 12.8975, 5.0447 Å; angles 90.00, 90.00, 90.00 degrees
With the nearest neighbours (Å) after each atom.
Space group I4/m (No. 87)
Inequivalent atoms, fractional coordinates:
Nd1 0.0782 0.3829 0.0000 (multiplicity 8)  4 Y 3.55-3.58, 3 Tm 3.59-3.61, 5 Nd 3.60-3.63
Y1 0.1525 0.7718 0.0000 (multiplicity 8)  6 Tm 3.54-3.64, 4 Nd 3.55-3.58, 2 Y 3.61
Tm1 0.0000 0.0000 0.0000 (multiplicity 2)  8 Tm 3.54, 4 Y 3.54
Tm2 0.0382 0.1886 0.5000 (multiplicity 8)  4 Tm 3.51-3.54, 5 Y 3.55-3.64, 3 Nd 3.59-3.61

## Properties
As for the formation energy: 0.024 eV/atom.


NdY4Tm5: optimized geometry, GGA-PBE.

Cell lengths 10.1310, 10.1310, 6.3270 Å; angles 90.00, 90.00, 90.00 degrees
With the nearest neighbours (Å) after each atom.
Space group I4 (No. 79)
Inequivalent atoms, fractional coordinates:
Nd1 0.0000 0.0000 0.0000 (multiplicity 2)  1 Tm 2.88
Y1 0.0490 0.3456 0.7707 (multiplicity 8)  4 Tm 3.22-3.52, 1 Y 3.28
Tm1 0.0000 0.0000 0.5449 (multiplicity 2)  1 Nd 2.88
Tm2 0.1420 0.2311 0.2745 (multiplicity 8)  4 Y 3.22-3.52, 1 Tm 3.24, 1 Nd 3.25

## Properties
The value obtained for the energy above the most stable polymorph in this dataset is 6.34 kcal/mol of atoms. As for the formation energy: 0.301 eV/atom.


Nd2Y2Tm15: optimized geometry, GGA-PBE.

Cell lengths 11.2245, 11.2245, 17.1574 Å; angles 90.00, 90.00, 120.00 degrees
With the nearest neighbours (Å) after each atom.
Space group R-3m (No. 166, hexagonal axes)
Inequivalent atoms, fractional coordinates:
Nd1 0.0000 0.0000 0.1678 (multiplicity 6)  1 Y 3.90, 15 Tm 3.94-4.31
Y1 0.0000 0.0000 0.3949 (multiplicity 6)  6 Tm 3.41-3.63, 1 Y 3.61
Tm1 0.0000 0.3008 0.5000 (multiplicity 18)  6 Tm 3.31-3.38
Tm2 0.0000 0.5000 0.0000 (multiplicity 9)  8 Tm 3.31-3.34, 2 Y 3.41
Tm3 0.0079 0.5040 0.6420 (multiplicity 18)  6 Tm 3.27-3.31, 1 Y 3.63

## Properties
As for the formation energy: 0.278 eV/atom.


no.,Fermi-level density of states (states/eV per atom),total DFT energy (no corrections) (eV/atom)
1,1.469,-5.054
2,1.608,-5.314
3,1.354,-4.888
4,1.474,-5.151
5,1.369,-4.997
6,2.098,-4.434